(1)
Computed, not measured: crystalline TiNbAg2W at its relaxed geometry at the PBE-GGA level of DFT.

raw total energy = -5.245 eV/atom
theoretical density = 8.22 g cm⁻³

a = 4.9852 Å, b = 4.9852 Å, c = 4.3938 Å
α = 90.00°, β = 90.00°, γ = 90.00°
Last column: nearest neighbours and their distance in Å.
Space group P4/mmm (No. 123)
Inequivalent atoms, fractional coordinates:
Ti  0.0000  0.0000  0.0000 (multiplicity 1)  2 Nb 2.20
Nb  0.0000  0.0000  0.5000 (multiplicity 1)  2 Ti 2.20
Ag  0.0000  0.5000  0.5000 (multiplicity 2)  2 Nb 2.49
W  0.5000  0.5000  0.0000 (multiplicity 1)  8 Ag 3.32, 4 Ti 3.53

=====

(2)
Computed, not measured: crystalline ZrPbSeBr2 at its relaxed geometry at the PBE-GGA level of DFT.

raw total energy = -3.523 eV/atom
theoretical density = 4.92 g cm⁻³
energy relative to the elements, uncorrected = 28 kJ/mol of atoms
energy above the most stable polymorph in this dataset = 0.816 eV per atom

a = 5.6600 Å, b = 5.6600 Å, c = 5.6618 Å
α = 90.00°, β = 90.00°, γ = 90.00°
Last column: nearest neighbours and their distance in Å.
Space group P4/mmm (No. 123)
Inequivalent atoms, fractional coordinates:
Zr  0.0000  0.0000  0.0000 (multiplicity 1)  4 Se 4.00, 8 Br 4.00
Pb  0.5000  0.5000  0.5000 (multiplicity 1)  4 Br 2.83, 2 Se 2.83
Se  0.5000  0.5000  0.0000 (multiplicity 1)  2 Pb 2.83
Br  0.0000  0.5000  0.5000 (multiplicity 2)  2 Pb 2.83

=====

(3)
Computed, not measured: crystalline NaIn6Cu6 at its relaxed geometry at the PBE-GGA level of DFT.

raw total energy = -3.285 eV/atom
theoretical density = 7.70 g cm⁻³

a = 5.4942 Å, b = 9.2400 Å, c = 9.2932 Å
α = 90.00°, β = 90.00°, γ = 90.00°
Last column: nearest neighbours and their distance in Å.
Space group Immm (No. 71)
Inequivalent atoms, fractional coordinates:
Na  0.0000  0.0000  0.0000 (multiplicity 2)  8 In 3.10-3.20
In  0.0000  0.0000  0.3381 (multiplicity 4)  6 Cu 2.81, 3 In 3.01-3.13
In  0.0000  0.3359  0.0000 (multiplicity 4)  6 Cu 2.81-2.88, 1 In 3.03, 1 Na 3.10
In  0.0000  0.5000  0.3243 (multiplicity 4)  6 Cu 2.77-2.78
Cu  0.0000  0.2563  0.5000 (multiplicity 4)  4 Cu 2.70, 6 In 2.78-2.88
Cu  0.2500  0.2500  0.2500 (multiplicity 8)  4 Cu 2.70-2.75, 6 In 2.77-2.81

=====

(4)
Computed, not measured: crystalline Eu2BiPt at its relaxed geometry at the PBE-GGA level of DFT.

raw total energy = -8.374 eV/atom
theoretical density = 10.62 g cm⁻³
energy above the most stable polymorph in this dataset = 0.092 eV per atom

a = 7.6226 Å, b = 7.6226 Å, c = 7.6226 Å
α = 90.00°, β = 90.00°, γ = 90.00°
Last column: nearest neighbours and their distance in Å.
Space group Fm-3m (No. 225)
Inequivalent atoms, fractional coordinates:
Eu  0.2500  0.2500  0.2500 (multiplicity 8)  4 Bi 3.30, 4 Pt 3.30
Bi  0.0000  0.0000  0.0000 (multiplicity 4)  8 Eu 3.30
Pt  0.0000  0.0000  0.5000 (multiplicity 4)  8 Eu 3.30

=====

(5)
Computed, not measured: crystalline In3GaCl6 at its relaxed geometry at the PBE-GGA level of DFT.

raw total energy = -3.150 eV/atom
theoretical density = 3.45 g cm⁻³
energy relative to the elements, uncorrected = -89 kJ/mol of atoms
energy above the most stable polymorph in this dataset = 0.058 eV per atom

a = 7.1761 Å, b = 7.9196 Å, c = 12.6375 Å
α = 90.00°, β = 122.86°, γ = 90.00°
Last column: nearest neighbours and their distance in Å.
Space group P2_1/c (No. 14)
Inequivalent atoms, fractional coordinates:
In  0.0000  0.0000  0.0000 (multiplicity 2)  6 Cl 2.56-2.57
In  0.2872  0.0780  0.7620 (multiplicity 4)  6 Cl 3.20-3.44
Ga  0.5000  0.0000  0.5000 (multiplicity 2)  6 Cl 2.95-2.99
Cl  0.1364  0.0343  0.2335 (multiplicity 4)  1 In 2.57
Cl  0.2273  0.7282  0.0527 (multiplicity 4)  1 In 2.56
Cl  0.3319  0.1726  0.0347 (multiplicity 4)  1 In 2.57

=====

(6)
Computed, not measured: crystalline NdSnH at its relaxed geometry at the PBE-GGA level of DFT.

raw total energy = -4.602 eV/atom
theoretical density = 6.73 g cm⁻³
energy above the most stable polymorph in this dataset = 0.100 eV per atom

a = 3.8000 Å, b = 3.8000 Å, c = 5.2115 Å
α = 90.00°, β = 90.00°, γ = 120.00°
Last column: nearest neighbours and their distance in Å.
Space group P-6m2 (No. 187)
Inequivalent atoms, fractional coordinates:
Nd  0.0000  0.0000  0.0000 (multiplicity 1)  3 H 2.19
Sn  0.6667  0.3333  0.5000 (multiplicity 1)  6 Nd 3.41, 6 H 3.41, 6 Sn 3.80
H  0.3333  0.6667  0.0000 (multiplicity 1)  3 Nd 2.19

=====

(7)
Computed, not measured: crystalline RbRe2SiAs at its relaxed geometry at the PBE-GGA level of DFT.

raw total energy = -5.499 eV/atom
theoretical density = 7.79 g cm⁻³
energy relative to the elements, uncorrected = 163 kJ/mol of atoms

a = 4.7434 Å, b = 4.7434 Å, c = 5.3108 Å
α = 90.00°, β = 90.00°, γ = 90.00°
Last column: nearest neighbours and their distance in Å.
Space group P4/mmm (No. 123)
Inequivalent atoms, fractional coordinates:
Rb  0.0000  0.0000  0.0000 (multiplicity 1)  4 Si 3.35, 8 Re 3.56
Re  0.0000  0.5000  0.5000 (multiplicity 2)  2 As 2.37
Si  0.5000  0.5000  0.0000 (multiplicity 1)  2 As 2.66
As  0.5000  0.5000  0.5000 (multiplicity 1)  4 Re 2.37, 2 Si 2.66

=====

(8)
Computed, not measured: crystalline HfCuPt2 at its relaxed geometry at the PBE-GGA level of DFT.

raw total energy = -7.310 eV/atom
theoretical density = 16.20 g cm⁻³

a = 6.3764 Å, b = 6.3764 Å, c = 6.3764 Å
α = 90.00°, β = 90.00°, γ = 90.00°
Last column: nearest neighbours and their distance in Å.
Space group Fm-3m (No. 225)
Inequivalent atoms, fractional coordinates:
Hf  0.0000  0.0000  0.0000 (multiplicity 4)  8 Pt 2.76
Cu  0.0000  0.0000  0.5000 (multiplicity 4)  8 Pt 2.76
Pt  0.2500  0.2500  0.2500 (multiplicity 8)  4 Hf 2.76, 4 Cu 2.76

=====

(9)
Computed, not measured: crystalline PmPr3Ho6 at its relaxed geometry at the PBE-GGA level of DFT.

raw total energy = -4.359 eV/atom
theoretical density = 7.74 g cm⁻³
energy above the most stable polymorph in this dataset = 0.149 eV per atom

a = 9.9460 Å, b = 9.9460 Å, c = 11.7034 Å
α = 90.00°, β = 90.00°, γ = 120.00°
Last column: nearest neighbours and their distance in Å.
Space group R3 (No. 146, hexagonal axes)
Inequivalent atoms, fractional coordinates:
Pm  0.0000  0.0000  0.0000 (multiplicity 3)  2 Pr 2.92
Pr  0.0000  0.0000  0.2491 (multiplicity 3)  1 Pm 2.92, 1 Pr 2.94, 3 Ho 3.25
Pr  0.0000  0.0000  0.4999 (multiplicity 3)  2 Pr 2.93-2.94
Pr  0.0000  0.0000  0.7507 (multiplicity 3)  1 Pm 2.92, 1 Pr 2.93, 3 Ho 3.25
Ho  0.0011  0.6742  0.7494 (multiplicity 9)  2 Pr 3.25-3.50, 1 Pm 3.48
Ho  0.0075  0.3397  0.9161 (multiplicity 9)  2 Pr 3.25-3.50, 1 Pm 3.48

=====

(10)
Computed, not measured: crystalline NbHRu2 at its relaxed geometry at the PBE-GGA level of DFT.

raw total energy = -7.720 eV/atom
theoretical density = 9.44 g cm⁻³
energy above the most stable polymorph in this dataset = 0.246 eV per atom

a = 3.0327 Å, b = 3.0327 Å, c = 5.6614 Å
α = 90.00°, β = 90.00°, γ = 90.00°
Last column: nearest neighbours and their distance in Å.
Space group P4/mmm (No. 123)
Inequivalent atoms, fractional coordinates:
Nb  0.0000  0.0000  0.0000 (multiplicity 1)  8 Ru 2.68, 2 H 2.83
H  0.0000  0.0000  0.5000 (multiplicity 1)  8 Ru 2.47
Ru  0.5000  0.5000  0.2835 (multiplicity 2)  1 Ru 2.45, 4 H 2.47, 4 Nb 2.68

=====

(11)
Computed, not measured: crystalline Er2HgS at its relaxed geometry at the PBE-GGA level of DFT.

raw total energy = -4.579 eV/atom
theoretical density = 9.90 g cm⁻³
energy relative to the elements, uncorrected = -115 kJ/mol of atoms
energy above the most stable polymorph in this dataset = 0.000 eV per atom

a = 3.8134 Å, b = 3.8134 Å, c = 22.6573 Å
α = 90.00°, β = 90.00°, γ = 120.00°
Last column: nearest neighbours and their distance in Å.
Space group R-3m (No. 166, hexagonal axes)
Inequivalent atoms, fractional coordinates:
Er  0.0000  0.0000  0.2376 (multiplicity 6)  3 S 2.73
Hg  0.0000  0.0000  0.0000 (multiplicity 3)  6 Er 3.09
S  0.0000  0.0000  0.5000 (multiplicity 3)  6 Er 2.73

=====

(12)
Computed, not measured: crystalline CsPmAgI5 at its relaxed geometry at the PBE-GGA level of DFT.

raw total energy = -3.178 eV/atom
theoretical density = 4.27 g cm⁻³
energy relative to the elements, uncorrected = -111 kJ/mol of atoms

a = 10.4121 Å, b = 13.9459 Å, c = 11.7759 Å
α = 90.00°, β = 112.01°, γ = 90.00°
Last column: nearest neighbours and their distance in Å.
Space group C2/c (No. 15)
Inequivalent atoms, fractional coordinates:
Cs  0.0000  0.1477  0.2500 (multiplicity 4)  5 I 3.86-3.89
Pm  0.0000  0.5000  0.0000 (multiplicity 4)  6 I 3.11-3.12
Ag  0.0000  0.1905  0.7500 (multiplicity 4)  4 I 2.85-2.91
I  0.0000  0.4264  0.2500 (multiplicity 4)  2 Pm 3.12
I  0.1089  0.2965  0.5993 (multiplicity 8)  1 Ag 2.85, 1 Pm 3.12
I  0.1975  0.0708  0.9370 (multiplicity 8)  1 Ag 2.91, 1 Pm 3.11